[1]
VASP calculation (GGA-PBE) on Nb4NiAsC2 after structural relaxation.

The value obtained for the total DFT energy (no corrections) is -9.049 eV per atom. The calculation puts the total magnetization at 0.06 μB per cell.

The space group is P-6m2 (No. 187) and the conventional cell measures 3.2303, 3.2303 and 12.4908 Å, with angles of 90.00, 90.00 and 120.00 degrees. The distinct sites, in fractional coordinates, are Nb at (0.0000, 0.0000, 0.1530), Nb at (0.3333, 0.6667, 0.3451), Ni at (0.0000, 0.0000, 0.5000), As at (0.3333, 0.6667, 0.0000) and C at (0.6667, 0.3333, 0.2517).

---

[2]
VASP calculation (GGA-PBE) on Ba2BeCd after structural relaxation.

The value obtained for the total DFT energy (no corrections) is -1.829 eV per atom.

The space group is F-43m (No. 216) and the conventional cell measures 7.815, 7.815 and 7.815 Å, with angles of 90.00, 90.00 and 90.00 degrees. The distinct sites, in fractional coordinates, are Ba at (0.000, 0.000, 0.000), Ba at (0.250, 0.250, 0.250), Be at (0.250, 0.250, 0.750) and Cd at (0.000, 0.000, 0.500).

---

[3]
VASP calculation (GGA-PBE) on PrAl after structural relaxation.

The value obtained for the total DFT energy (no corrections) is -4.598 eV per atom. The calculation puts the total magnetization at 0.00 μB per cell.

The space group is Pm-3m (No. 221) and the conventional cell measures 3.758, 3.758 and 3.758 Å, with angles of 90.00, 90.00 and 90.00 degrees. The distinct sites, in fractional coordinates, are Pr at (0.000, 0.000, 0.000) and Al at (0.500, 0.500, 0.500).